! CdNi2Cl, optimized geometry, DFT PBE; values from VASP
&SYSTEM
  ibrav = 0, nat = 8, ntyp = 3
/
ATOMIC_SPECIES
Cd 112.41 Cd.upf
Ni 58.69 Ni.upf
Cl 35.45 Cl.upf
CELL_PARAMETERS angstrom
3.659 0.000 0.000
0.000 3.659 0.000
0.000 0.000 9.544
ATOMIC_POSITIONS angstrom
Cd 0.000 0.000 0.000
Cd 1.830 1.830 4.772
Ni 0.000 0.000 4.772
Ni 0.000 1.830 2.386
Ni 1.830 0.000 7.158
Ni 1.830 1.830 0.000
Cl 0.000 1.830 7.158
Cl 1.830 0.000 2.386
! E above lowest polymorph, meV/atom: 416
! Total magnetization, μB per formula unit: 0.96
! Calculated volume, Å³/cell: 127.8
! Space group: I-4m2, No. 119
! Formation energy (no corrections), kJ/mol of atoms: 43



! CdNi2Cl, optimized geometry, DFT PBE; values from VASP
&SYSTEM
  ibrav = 0, nat = 4, ntyp = 3
/
ATOMIC_SPECIES
Cd 112.41 Cd.upf
Ni 58.69 Ni.upf
Cl 35.45 Cl.upf
CELL_PARAMETERS angstrom
3.005 0.000 0.000
0.000 4.224 0.000
0.000 0.000 5.100
ATOMIC_POSITIONS angstrom
Cd 0.000 0.000 0.000
Ni 0.000 2.112 2.550
Ni 1.503 2.112 0.000
Cl 1.503 0.000 2.550
! E above lowest polymorph, meV/atom: 364
! Total magnetization, μB per formula unit: 1.23
! Calculated volume, Å³/cell: 64.7
! Space group: Pmmm, No. 47
! Formation energy (no corrections), kJ/mol of atoms: 38



! Cd2NiCl6, optimized geometry, DFT PBE; values from VASP
&SYSTEM
  ibrav = 0, nat = 9, ntyp = 3
/
ATOMIC_SPECIES
Cd 112.41 Cd.upf
Ni 58.69 Ni.upf
Cl 35.45 Cl.upf
CELL_PARAMETERS angstrom
7.039 -1.874 0.000
7.039 1.874 0.000
-3.167 0.000 9.073
ATOMIC_POSITIONS angstrom
Cd 1.331 0.000 2.943
Cd 9.580 0.000 6.130
Ni 7.039 0.000 0.000
Cl 1.585 0.000 0.299
Cl 0.754 0.000 5.581
Cl 4.325 0.000 6.725
Cl 6.586 0.000 2.349
Cl 10.158 0.000 3.493
Cl 9.326 0.000 8.775
! E above lowest polymorph, meV/atom: 0
! Total magnetization, μB per formula unit: 1.96
! Calculated volume, Å³/cell: 239.4
! Space group: C2/m, No. 12
! Formation energy (no corrections), kJ/mol of atoms: -87